Entry 1:
CdInIr: optimized geometry, PBE.

Structure (CIF):
```
data_CdInIr
_cell_length_a 3.124
_cell_length_b 3.872
_cell_length_c 9.248
_cell_angle_alpha 90.00
_cell_angle_beta 90.00
_cell_angle_gamma 90.00
_space_group_name_H-M_alt 'I m m 2'
_space_group_IT_number 44
loop_
_space_group_symop_operation_xyz
'x,y,z'
'-x,-y,z'
'-x,y,z'
'x,-y,z'
'x+1/2,y+1/2,z+1/2'
'-x+1/2,-y+1/2,z+1/2'
'-x+1/2,y+1/2,z+1/2'
'x+1/2,-y+1/2,z+1/2'
loop_
_atom_site_label
_atom_site_type_symbol
_atom_site_fract_x
_atom_site_fract_y
_atom_site_fract_z
Cd1 Cd 0.000 0.000 0.000
In1 In 0.000 0.000 0.313
Ir1 Ir 0.000 0.000 0.667
```

Energy of formation in meV per atom: 89
Total magnetic moment in μB per cell: 0.00

Entry 2:
LuHgRh2: optimized geometry, PBE.

Structure (CIF):
```
data_LuHgRh2
_cell_length_a 4.332
_cell_length_b 4.332
_cell_length_c 3.745
_cell_angle_alpha 90.00
_cell_angle_beta 90.00
_cell_angle_gamma 90.00
_space_group_name_H-M_alt 'P 4/m m m'
_space_group_IT_number 123
_space_group_name_Hall '-P 4 2'
loop_
_atom_site_label
_atom_site_type_symbol
_atom_site_fract_x
_atom_site_fract_y
_atom_site_fract_z
Lu1 Lu 0.000 0.000 0.000
Hg1 Hg 0.500 0.500 0.000
Rh1 Rh 0.000 0.500 0.500
```

Energy of formation in meV per atom: -598
Total magnetic moment in μB per cell: 0.00

Entry 3:
Li2Al2Tl: optimized geometry, PBE.

Structure (CIF):
```
data_Li2Al2Tl
_cell_length_a 7.924
_cell_length_b 7.924
_cell_length_c 3.100
_cell_angle_alpha 90.00
_cell_angle_beta 90.00
_cell_angle_gamma 90.00
_space_group_name_H-M_alt 'P 4/m b m'
_space_group_IT_number 127
_space_group_name_Hall '-P 4 2ab'
loop_
_atom_site_label
_atom_site_type_symbol
_atom_site_fract_x
_atom_site_fract_y
_atom_site_fract_z
Li1 Li 0.180 0.320 0.000
Al1 Al 0.117 0.617 0.500
Tl1 Tl 0.000 0.000 0.500
```

Energy of formation in meV per atom: -9
Total magnetic moment in μB per cell: 0.00

Entry 4:
MnIrRh2: optimized geometry, PBE.

Structure (CIF):
```
data_MnIrRh2
_cell_length_a 2.737
_cell_length_b 2.737
_cell_length_c 7.453
_cell_angle_alpha 90.00
_cell_angle_beta 90.00
_cell_angle_gamma 90.00
_space_group_name_H-M_alt 'P 4 m m'
_space_group_IT_number 99
loop_
_space_group_symop_operation_xyz
'x,y,z'
'-y,x,z'
'-x,-y,z'
'y,-x,z'
'-x,y,z'
'y,x,z'
'x,-y,z'
'-y,-x,z'
loop_
_atom_site_label
_atom_site_type_symbol
_atom_site_fract_x
_atom_site_fract_y
_atom_site_fract_z
Mn1 Mn 0.000 0.000 0.000
Ir1 Ir 0.500 0.500 0.760
Rh1 Rh 0.000 0.000 0.502
Rh2 Rh 0.500 0.500 0.240
```

Energy of formation in meV per atom: -56
Total magnetic moment in μB per cell: 2.49

Entry 5:
CdSb2Ir: optimized geometry, PBE.

Structure (CIF):
```
data_CdSb2Ir
_cell_length_a 5.309
_cell_length_b 9.605
_cell_length_c 4.204
_cell_angle_alpha 90.00
_cell_angle_beta 90.00
_cell_angle_gamma 90.00
_space_group_name_H-M_alt 'C m m m'
_space_group_IT_number 65
_space_group_name_Hall '-C 2 2'
loop_
_atom_site_label
_atom_site_type_symbol
_atom_site_fract_x
_atom_site_fract_y
_atom_site_fract_z
Cd1 Cd 0.000 0.000 0.000
Sb1 Sb 0.000 0.335 0.500
Ir1 Ir 0.000 0.500 0.000
```

Total magnetic moment in μB per cell: 0.00
Formation energy (no corrections) in meV/atom: -29.3

Entry 6:
SrLa2As: optimized geometry, PBE.

Structure (CIF):
```
data_SrLa2As
_cell_length_a 12.402
_cell_length_b 4.014
_cell_length_c 6.971
_cell_angle_alpha 90.00
_cell_angle_beta 121.89
_cell_angle_gamma 90.00
_space_group_name_H-M_alt 'C 1 m 1'
_space_group_IT_number 8
loop_
_space_group_symop_operation_xyz
'x,y,z'
'x,-y,z'
'x+1/2,y+1/2,z'
'x+1/2,-y+1/2,z'
loop_
_atom_site_label
_atom_site_type_symbol
_atom_site_fract_x
_atom_site_fract_y
_atom_site_fract_z
Sr1 Sr 0.000 0.000 0.000
La1 La 0.178 0.000 0.660
La2 La 0.368 0.000 0.376
As1 As 0.217 0.500 0.003
```

Energy of formation in meV per atom: -520
Total magnetic moment in μB per cell: 1.22

Entry 7:
Sc12Au3O5: optimized geometry, PBE.

Structure (CIF):
```
data_Sc12Au3O5
_cell_length_a 14.299
_cell_length_b 14.299
_cell_length_c 14.299
_cell_angle_alpha 90.00
_cell_angle_beta 90.00
_cell_angle_gamma 90.00
_space_group_name_H-M_alt 'I a -3 d'
_space_group_IT_number 230
_space_group_name_Hall '-I 4bd 2c 3'
loop_
_atom_site_label
_atom_site_type_symbol
_atom_site_fract_x
_atom_site_fract_y
_atom_site_fract_z
Sc1 Sc 0.039 0.051 0.648
Au1 Au 0.000 0.250 0.125
O1 O 0.000 0.000 0.000
O2 O 0.000 0.250 0.375
```

Total magnetic moment in μB per cell: 30.13
Formation energy (no corrections) in meV/atom: -1654.7

Entry 8:
Cr2Rh: optimized geometry, PBE.

Structure (CIF):
```
data_Cr2Rh
_cell_length_a 2.6039
_cell_length_b 2.6039
_cell_length_c 6.4858
_cell_angle_alpha 90.00
_cell_angle_beta 90.00
_cell_angle_gamma 120.00
_space_group_name_H-M_alt 'P -3 m 1'
_space_group_IT_number 164
_space_group_name_Hall '-P 3 2"'
loop_
_atom_site_label
_atom_site_type_symbol
_atom_site_fract_x
_atom_site_fract_y
_atom_site_fract_z
Cr1 Cr 0.3333 0.6667 0.1647
Rh1 Rh 0.0000 0.0000 0.5000
```

Energy of formation in meV per atom: 171
Total magnetic moment in μB per cell: 0.00